Entry 1:
Below is an optimized crystal structure of K2PrSmSe4, with properties calculated at the PBE-GGA level.

It has space group P2/m (No. 10), with a = 7.518 Å, b = 4.341 Å, c = 8.102 Å, α = 90.00°, β = 107.99° and γ = 90.00°. The inequivalent atoms are K at (0.000, 0.000, 0.000), K at (0.500, 0.500, 0.000), Pr at (0.000, 0.500, 0.500), Sm at (0.500, 0.000, 0.500), Se at (0.241, 0.000, 0.712) and Se at (0.268, 0.500, 0.290).

---

Entry 2:
Below is an optimized crystal structure of K2PrSnSe4, with properties calculated at the PBE-GGA level.

It has space group P2/m (No. 10), with a = 7.500 Å, b = 4.286 Å, c = 8.103 Å, α = 90.00°, β = 107.66° and γ = 90.00°. The inequivalent atoms are K at (0.000, 0.000, 0.000), K at (0.500, 0.500, 0.000), Pr at (0.000, 0.500, 0.500), Sn at (0.500, 0.000, 0.500), Se at (0.245, 0.000, 0.710) and Se at (0.271, 0.500, 0.294).

---

Entry 3:
Below is an optimized crystal structure of K4Pr3SnSe8, with properties calculated at the PBE-GGA level.

It has space group R-3m (No. 166, hexagonal axes), with a = 8.7007 Å, b = 8.7007 Å, c = 23.1190 Å, α = 90.00°, β = 90.00° and γ = 120.00°. The inequivalent atoms are K at (0.0000, 0.0000, 0.0000), K at (0.0000, 0.5000, 0.0000), Pr at (0.0000, 0.5000, 0.5000), Sn at (0.0000, 0.0000, 0.5000), Se at (0.0000, 0.0000, 0.2379) and Se at (0.0079, 0.5039, 0.2362).

---

Entry 4:
Below is an optimized crystal structure of K3Pr3SnSe8, with properties calculated at the PBE-GGA level.

It has space group R-3m (No. 166, hexagonal axes), with a = 8.5838 Å, b = 8.5838 Å, c = 23.6159 Å, α = 90.00°, β = 90.00° and γ = 120.00°. The inequivalent atoms are K at (0.0000, 0.5000, 0.0000), Pr at (0.0000, 0.5000, 0.5000), Sn at (0.0000, 0.0000, 0.5000), Se at (0.0000, 0.0000, 0.2370) and Se at (0.0235, 0.5118, 0.2338).

---

Entry 5:
Below is an optimized crystal structure of KPrSnSe3, with properties calculated at the PBE-GGA level.

It has space group Cmcm (No. 63), with a = 4.297 Å, b = 16.856 Å, c = 12.140 Å, α = 90.00°, β = 90.00° and γ = 90.00°. The inequivalent atoms are K at (0.000, 0.168, 0.250), Pr at (0.000, 0.500, 0.000), Sn at (0.000, 0.116, 0.750), Se at (0.000, 0.121, 0.509) and Se at (0.000, 0.494, 0.250).

---

Entry 6:
Below is an optimized crystal structure of KSrPr2Se4, with properties calculated at the PBE-GGA level.

It has space group P2/m (No. 10), with a = 7.526 Å, b = 4.335 Å, c = 7.770 Å, α = 90.00°, β = 108.63° and γ = 90.00°. The inequivalent atoms are K at (0.000, 0.000, 0.000), Sr at (0.500, 0.500, 0.000), Pr at (0.000, 0.500, 0.500), Pr at (0.500, 0.000, 0.500), Se at (0.250, 0.000, 0.736) and Se at (0.262, 0.500, 0.272).

---

Entry 7:
Below is an optimized crystal structure of KSr2PrSe4, with properties calculated at the PBE-GGA level.

It has space group P2/m (No. 10), with a = 7.619 Å, b = 4.442 Å, c = 7.751 Å, α = 90.00°, β = 108.58° and γ = 90.00°. The inequivalent atoms are K at (0.000, 0.000, 0.000), Sr at (0.500, 0.000, 0.500), Sr at (0.500, 0.500, 0.000), Pr at (0.000, 0.500, 0.500), Se at (0.242, 0.000, 0.735) and Se at (0.253, 0.500, 0.270).

---

Entry 8:
Below is an optimized crystal structure of KTb4PrSe8, with properties calculated at the PBE-GGA level.

It has space group R3m (No. 160, hexagonal axes), with a = 8.6088 Å, b = 8.6088 Å, c = 21.5464 Å, α = 90.00°, β = 90.00° and γ = 120.00°. The inequivalent atoms are K at (0.0000, 0.0000, 0.0000), Tb at (0.0000, 0.0000, 0.2548), Tb at (0.1727, 0.3453, 0.4606), Pr at (0.0000, 0.0000, 0.6335), Se at (0.0000, 0.0000, 0.3863), Se at (0.0000, 0.0000, 0.8623), Se at (0.0350, 0.5175, 0.3872) and Se at (0.1742, 0.3483, 0.2077).

---

Entry 9:
Below is an optimized crystal structure of K2TbPrSe4, with properties calculated at the PBE-GGA level.

It has space group P2/m (No. 10), with a = 7.461 Å, b = 4.307 Å, c = 8.091 Å, α = 90.00°, β = 107.88° and γ = 90.00°. The inequivalent atoms are K at (0.000, 0.000, 0.000), K at (0.500, 0.500, 0.000), Tb at (0.000, 0.500, 0.500), Pr at (0.500, 0.000, 0.500), Se at (0.228, 0.000, 0.707) and Se at (0.255, 0.500, 0.289).

---

Entry 10:
Below is an optimized crystal structure of KTbPr2Se4, with properties calculated at the PBE-GGA level.

It has space group P2/m (No. 10), with a = 7.434 Å, b = 4.233 Å, c = 7.470 Å, α = 90.00°, β = 108.66° and γ = 90.00°. The inequivalent atoms are K at (0.000, 0.000, 0.000), Tb at (0.000, 0.500, 0.500), Pr at (0.500, 0.000, 0.500), Pr at (0.500, 0.500, 0.000), Se at (0.243, 0.000, 0.737) and Se at (0.255, 0.500, 0.266).

---

Entry 11:
Below is an optimized crystal structure of K3TbPr2Se6, with properties calculated at the PBE-GGA level.

It has space group C2/m (No. 12), with a = 7.503 Å, b = 12.996 Å, c = 8.103 Å, α = 90.00°, β = 107.99° and γ = 90.00°. The inequivalent atoms are K at (0.000, 0.000, 0.000), K at (0.000, 0.332, 0.000), Tb at (0.000, 0.500, 0.500), Pr at (0.000, 0.167, 0.500), Se at (0.232, 0.338, 0.710) and Se at (0.245, 0.000, 0.710).

---

Entry 12:
Below is an optimized crystal structure of K2PrTeSe4, with properties calculated at the PBE-GGA level.

It has space group C2/c (No. 15), with a = 12.414 Å, b = 12.388 Å, c = 8.782 Å, α = 90.00°, β = 130.92° and γ = 90.00°. The inequivalent atoms are K at (0.000, 0.000, 0.000), K at (0.250, 0.250, 0.000), Pr at (0.000, 0.500, 0.000), Te at (0.250, 0.250, 0.500), Se at (0.030, 0.260, 0.510) and Se at (0.222, 0.481, 0.459).

---

Short version: VASP energy = -4.958, -4.336, -4.647, -4.733, -4.543, -5.110, -4.747, -5.484, -4.947, -5.387, -4.952, -4.072 eV/atom, in the order given.
Short version: E_form (uncorrected) = -1.7539, -1.2216, -1.4843, -1.4319, -1.1537, -1.8258, -1.8499, -1.7501, -1.7543, -1.7341, -1.7532, -1.0648 eV per atom, in the order given.